Entry 1:
Entry from Alexandria via LeMat-Bulk: a relaxed BaBAs2Br crystal (PBE).

Unit cell a=6.568 b=6.568 c=6.226 alpha=90.00 beta=90.00 gamma=90.00
Space group P4/mmm (No. 123)
Unique sites:
Ba (0.000, 0.000, 0.000) [1 per cell]
B (0.500, 0.500, 0.500) [1 per cell]
As (0.000, 0.500, 0.000) [2 per cell]
Br (0.000, 0.000, 0.500) [1 per cell]

Computed properties:
Energy relative to the elements, uncorrected (eV per atom): 1.34
Relative energy among the computed polymorphs (meV per atom): 1516

Entry 2:
Entry from Alexandria via LeMat-Bulk: a relaxed Cd2SbAs crystal (PBE).

Unit cell a=4.313 b=5.358 c=8.309 alpha=90.00 beta=90.00 gamma=90.00
Space group Cmmm (No. 65)
Unique sites:
Cd (0.000, 0.000, 0.227) [4 per cell]
Sb (0.000, 0.500, 0.500) [2 per cell]
As (0.000, 0.500, 0.000) [2 per cell]

Computed properties:
Energy relative to the elements, uncorrected (eV per atom): 0.17
Relative energy among the computed polymorphs (meV per atom): 139

Entry 3:
Entry from Alexandria via LeMat-Bulk: a relaxed In4BiPb10 crystal (PBE).

Unit cell a=11.638 b=11.638 c=7.689 alpha=90.00 beta=90.00 gamma=90.00
Space group I4/m (No. 87)
Unique sites:
In (0.104, 0.693, 0.000) [8 per cell]
Bi (0.000, 0.000, 0.500) [2 per cell]
Pb (0.000, 0.500, 0.250) [4 per cell]
Pb (0.103, 0.204, 0.233) [16 per cell]

Computed properties:
ΔH_f (0 K) (meV per atom): 77

Entry 4:
Entry from Alexandria via LeMat-Bulk: a relaxed Pm5Sm12Ho2 crystal (PBE).

Unit cell a=22.349 b=7.133 c=8.760 alpha=90.00 beta=110.04 gamma=90.00
Space group C2/m (No. 12)
Unique sites:
Pm (0.000, 0.000, 0.000) [2 per cell]
Pm (0.150, 0.500, 0.595) [4 per cell]
Pm (0.249, 0.000, 0.991) [4 per cell]
Sm (0.048, 0.500, 0.194) [4 per cell]
Sm (0.106, 0.257, 0.884) [8 per cell]
Sm (0.144, 0.000, 0.565) [4 per cell]
Sm (0.201, 0.253, 0.294) [8 per cell]
Ho (0.000, 0.256, 0.500) [4 per cell]

Computed properties:
Relative energy among the computed polymorphs (meV per atom): 0
ΔH_f (0 K) (meV per atom): 136